Entry 1
Material: La2Nd7Ho2
Method: DFT, PBE
State: relaxed

The structure in POSCAR format:
```
La2Nd7Ho2
1.0
3.3779 -6.1935 0.0000
3.3779 6.1935 0.0000
0.0000 0.0000 9.5714
La Nd Ho
2 7 2
Direct
0.2490 0.2490 0.0000
0.7510 0.7510 0.0000
0.0000 0.0000 0.5000
0.0000 0.5000 0.1846
0.0000 0.5000 0.8154
0.5000 0.0000 0.1846
0.5000 0.0000 0.8154
0.5000 0.5000 0.3227
0.5000 0.5000 0.6773
0.2685 0.7315 0.5000
0.7315 0.2685 0.5000
```

Output
The total magnetization comes out at 0.0 μB/f.u. As for the space group: No. 65. The density of states at the Fermi level comes out at 1.911 states/eV/atom.

***

Entry 2
Material: La2Nd7Ho2
Method: DFT, PBE
State: relaxed

The structure in POSCAR format:
```
La2Nd7Ho2
1.0
5.1643 -5.7197 0.0000
5.1643 5.7197 0.0000
-2.7710 0.0000 6.5704
La Nd Ho
2 7 2
Direct
0.1631 0.8369 0.0000
0.8369 0.1631 0.0000
0.0000 0.0000 0.5000
0.0814 0.5775 0.3081
0.3262 0.3262 0.0204
0.4225 0.9186 0.6919
0.5775 0.0814 0.3081
0.6738 0.6738 0.9796
0.9186 0.4225 0.6919
0.3574 0.3574 0.5621
0.6426 0.6426 0.4379
```

Output
The total magnetization comes out at 0.0 μB/f.u. As for the space group: No. 12. The density of states at the Fermi level comes out at 1.887 states/eV/atom.

***

Of all the structures shown, which is most stable? entry 2, and entry 1 is the least stable.